# Ba2TlW (PBE, relaxed)
# * total DFT energy (no corrections): -4.05 eV per atom
# * offset from the most stable computed form: 0 meV/atom
data_Ba2TlW
_space_group_name_H-M_alt 'P 4 m m'
_space_group_IT_number 99
_space_group_name_Hall 'P 4 -2'
_cell_length_a 3.868
_cell_length_b 3.868
_cell_length_c 9.606
_cell_angle_alpha 90.00
_cell_angle_beta 90.00
_cell_angle_gamma 90.00
loop_
_atom_site_label
_atom_site_fract_x
_atom_site_fract_y
_atom_site_fract_z
Ba1 0.000 0.000 0.000
Ba2 0.500 0.500 0.414
Tl1 0.000 0.000 0.656
W1 0.500 0.500 0.746

# LaNiPIr6 (PBE, relaxed)
# * total DFT energy (no corrections): -7.56 eV per atom
data_LaNiPIr6
_space_group_name_H-M_alt 'I m m a'
_space_group_IT_number 74
_space_group_name_Hall '-I 2b 2'
_cell_length_a 5.937
_cell_length_b 9.142
_cell_length_c 11.650
_cell_angle_alpha 90.00
_cell_angle_beta 90.00
_cell_angle_gamma 90.00
loop_
_atom_site_label
_atom_site_fract_x
_atom_site_fract_y
_atom_site_fract_z
La1 0.000 0.250 0.180
Ni1 0.250 0.250 0.750
P1 0.000 0.000 0.500
Ir1 0.000 0.250 0.431
Ir2 0.000 0.250 0.918
Ir3 0.235 0.021 0.866

# TaAg2Au (PBE, relaxed)
# * total DFT energy (no corrections): -4.90 eV per atom
# * offset from the most stable computed form: 220 meV/atom
data_TaAg2Au
_space_group_name_H-M_alt 'I m m 2'
_space_group_IT_number 44
_space_group_name_Hall 'I 2 -2'
_cell_length_a 2.852
_cell_length_b 5.074
_cell_length_c 10.060
_cell_angle_alpha 90.00
_cell_angle_beta 90.00
_cell_angle_gamma 90.00
loop_
_atom_site_label
_atom_site_fract_x
_atom_site_fract_y
_atom_site_fract_z
Ta1 0.000 0.000 0.000
Ag1 0.000 0.000 0.512
Ag2 0.000 0.500 0.757
Au1 0.000 0.500 0.262

# BaHgPdCl6 (PBE, relaxed)
# * E_form (uncorrected): -1.10 eV per atom
# * total DFT energy (no corrections): -3.16 eV per atom
data_BaHgPdCl6
_space_group_name_H-M_alt 'P 3 1 2'
_space_group_IT_number 149
_space_group_name_Hall 'P 3 2'
_cell_length_a 6.8486
_cell_length_b 6.8486
_cell_length_c 6.6352
_cell_angle_alpha 90.00
_cell_angle_beta 90.00
_cell_angle_gamma 120.00
loop_
_atom_site_label
_atom_site_fract_x
_atom_site_fract_y
_atom_site_fract_z
Ba1 0.0000 0.0000 0.0000
Hg1 0.3333 0.6667 0.5000
Pd1 0.6667 0.3333 0.5000
Cl1 0.3768 0.0188 0.7220